# TmCoAs2O8

TmCoAs2O8 after structural relaxation (PBE+U, the Alexandria database).

Cell and atoms, written as CIF:
```
data_TmCoAs2O8
_chemical_formula_sum 'Tm1 Co1 As2 O8'
_cell_length_a 5.791
_cell_length_b 5.791
_cell_length_c 5.791
_cell_angle_alpha 106.41
_cell_angle_beta 106.41
_cell_angle_gamma 115.79
_symmetry_space_group_name_H-M 'P 1'
_symmetry_Int_Tables_number 1
_symmetry_space_group_name_Hall 'P 1'
loop_
_atom_site_label
_atom_site_fract_x
_atom_site_fract_y
_atom_site_fract_z
O1 0.315 0.502 0.187
O2 0.872 0.685 0.187
O3 0.736 0.057 0.678
O4 0.379 0.057 0.322
O5 0.943 0.264 0.322
O6 0.315 0.128 0.813
O7 0.498 0.685 0.813
O8 0.943 0.621 0.678
As1 0.750 0.250 0.500
As2 0.500 0.500 0.000
Co1 0.250 0.750 0.500
Tm1 0.000 0.000 0.000
```

total magnetic moment: 4.0 Bohr magnetons per cell
E: -6.474 eV per atom